[1]
ScCoHgAs, relaxed, DFT GGA-PBE; E = -4.742 eV/atom; SG = F-43m, No. 216
1.0
0.000 3.248 3.248
3.248 0.000 3.248
3.248 3.248 0.000
Co Sc As Hg
1 1 1 1
direct
0.750 0.750 0.750 Co
0.250 0.250 0.250 Sc
0.000 0.000 0.000 As
0.500 0.500 0.500 Hg

=====

[2]
ScCoHgAs, relaxed, DFT GGA-PBE; E = -4.536 eV/atom; SG = F-43m, No. 216
1.0
0.000 3.284 3.284
3.284 0.000 3.284
3.284 3.284 0.000
As Sc Hg Co
1 1 1 1
direct
0.000 0.000 0.000 As
0.500 0.500 0.500 Sc
0.250 0.250 0.250 Hg
0.750 0.750 0.750 Co

=====

[3]
TaCoHgAs, relaxed, DFT GGA-PBE; E = -5.318 eV/atom; SG = F-43m, No. 216
1.0
0.000 3.255 3.255
3.255 0.000 3.255
3.255 3.255 0.000
Hg Ta Co As
1 1 1 1
direct
0.250 0.250 0.250 Hg
0.500 0.500 0.500 Ta
0.750 0.750 0.750 Co
0.000 0.000 0.000 As

=====

[4]
TaCoHgAs, relaxed, DFT GGA-PBE; E = -5.541 eV/atom; SG = F-43m, No. 216
1.0
0.204 0.475 4.503
1.362 3.929 1.805
-2.979 2.667 2.135
Ta As Co Hg
1 1 1 1
direct
0.250 0.250 0.250 Ta
0.000 0.000 0.000 As
0.750 0.750 0.750 Co
0.500 0.500 0.500 Hg

=====

[5]
CoHgAsW, relaxed, DFT GGA-PBE; E = -5.536 eV/atom; SG = F-43m, No. 216
1.0
0.000 3.156 3.156
3.156 0.000 3.156
3.156 3.156 0.000
W Co As Hg
1 1 1 1
direct
0.250 0.250 0.250 W
0.750 0.750 0.750 Co
0.000 0.000 0.000 As
0.500 0.500 0.500 Hg

=====

[6]
CoHgAsW, relaxed, DFT GGA-PBE; E = -5.211 eV/atom; SG = F-43m, No. 216
1.0
-2.685 -2.708 2.515
-4.474 -0.243 -0.889
-1.763 -3.799 -1.824
As W Co Hg
1 1 1 1
direct
0.000 0.000 0.000 As
0.500 0.500 0.500 W
0.750 0.750 0.750 Co
0.250 0.250 0.250 Hg